MgAs2PdC | GGA-PBE | optimized geometry

Values from the calculation:
magnetic moment: 0.24 μB per atom
offset from the most stable computed form: 1.1199 eV/atom
E: -3.129 eV/atom

a b c (Å): 4.872 4.872 4.726
angles (deg): 90.00 90.00 90.00
Positions (direct):
As: 0.000 0.500 0.000
As: 0.500 0.000 0.000
Pd: 0.000 0.000 0.500
Mg: 0.000 0.000 0.000
C: 0.500 0.500 0.500



RbMgAs2C | GGA-PBE | optimized geometry

Values from the calculation:
magnetic moment: 1.50 μB per atom
E: -1.595 eV/atom

a b c (Å): 6.947 8.403 6.947
angles (deg): 90.00 90.00 90.00
Positions (direct):
Mg: 0.000 0.500 0.000
C: 0.500 0.500 0.500
As: 0.000 0.000 0.500
As: 0.500 0.000 0.000
Rb: 0.000 0.000 0.000



MgSbAsC2 | GGA-PBE | optimized geometry

Values from the calculation:
magnetic moment: 0.16 μB per atom
formation energy from raw total energies: 9.6 eV/f.u.
E: -3.851 eV/atom

a b c (Å): 4.229 5.535 4.229
angles (deg): 90.00 90.00 90.00
Positions (direct):
Sb: 0.000 0.000 0.000
C: 0.000 0.000 0.500
C: 0.500 0.000 0.000
Mg: 0.500 0.500 0.500
As: 0.000 0.500 0.000



MgScAsC2 | GGA-PBE | optimized geometry

Values from the calculation:
magnetic moment: 0.00 μB per atom
E: -4.822 eV/atom

a b c (Å): 4.270 5.096 4.270
angles (deg): 90.00 90.00 90.00
Positions (direct):
As: 0.000 0.500 0.000
Mg: 0.500 0.500 0.500
C: 0.000 0.000 0.500
C: 0.500 0.000 0.000
Sc: 0.000 0.000 0.000